(1)
Density functional theory data (PBE-GGA) for a relaxed structure of TmMgScTl.

Geometry as POSCAR:
```
TmMgScTl
1.0
5.164 0.000 0.000
2.582 4.472 0.000
2.582 1.491 4.216
Tl Sc Mg Tm
1 1 1 1
Direct
0.250 0.250 0.250 Tl
0.000 0.000 0.000 Sc
0.750 0.750 0.750 Mg
0.500 0.500 0.500 Tm
```

Its total magnetic moment is 0.00 μB/f.u. The energy is -3.88 eV per atom. The calculation puts the calculated volume at 24.34 Å³/atom. The calculation puts the density of states at the Fermi level at 3.68 states/eV/cell.

---

(2)
Density functional theory data (PBE-GGA) for a relaxed structure of Tm2MgScTl4.

Geometry as POSCAR:
```
Tm2MgScTl4
1.0
5.179 0.000 0.000
2.590 4.485 0.000
2.590 1.495 8.653
Tm Sc Mg Tl
2 1 1 4
Direct
0.746 0.746 0.762 Tm
0.254 0.254 0.238 Tm
0.500 0.500 0.500 Sc
0.000 0.000 0.000 Mg
0.874 0.874 0.378 Tl
0.377 0.377 0.870 Tl
0.126 0.126 0.622 Tl
0.623 0.623 0.130 Tl
```

Its total magnetic moment is 0.00 μB/f.u. The energy is -3.53 eV per atom. The calculation puts the calculated volume at 25.12 Å³/atom. The calculation puts the density of states at the Fermi level at 4.34 states/eV/cell.

---

(3)
Density functional theory data (PBE-GGA) for a relaxed structure of Mg2ScTlW.

Geometry as POSCAR:
```
Mg2ScTlW
1.0
5.517 0.000 0.000
0.000 4.717 0.000
0.000 0.000 5.517
Sc Mg W Tl
1 2 1 1
Direct
0.000 0.000 0.000 Sc
0.000 0.000 0.500 Mg
0.500 0.000 0.000 Mg
0.000 0.500 0.000 W
0.500 0.500 0.500 Tl
```

Its total magnetic moment is 1.02 μB/f.u. The energy is -3.63 eV per atom. The calculation puts the calculated volume at 28.71 Å³/atom. The calculation puts the density of states at the Fermi level at 4.42 states/eV/cell.

---

(4)
Density functional theory data (PBE-GGA) for a relaxed structure of YMgScTl.

Geometry as POSCAR:
```
YMgScTl
1.0
-3.773 3.578 -0.139
-3.423 0.019 -3.917
-4.938 -1.394 0.854
Tl Y Mg Sc
1 1 1 1
Direct
0.000 0.000 0.000 Tl
0.750 0.750 0.750 Y
0.500 0.500 0.500 Mg
0.250 0.250 0.250 Sc
```

Its total magnetic moment is 0.00 μB/f.u. The energy is -4.41 eV per atom. The calculation puts the calculated volume at 24.88 Å³/atom. The calculation puts the density of states at the Fermi level at 3.60 states/eV/cell.

---

(5)
Density functional theory data (PBE-GGA) for a relaxed structure of YMgSc2Tl4.

Geometry as POSCAR:
```
YMgSc2Tl4
1.0
5.130 0.000 0.000
2.565 4.443 0.000
2.565 1.481 8.672
Tl Y Sc Mg
4 1 2 1
Direct
0.126 0.126 0.623 Tl
0.622 0.622 0.134 Tl
0.378 0.378 0.866 Tl
0.874 0.874 0.377 Tl
0.000 0.000 0.000 Y
0.245 0.245 0.264 Sc
0.755 0.755 0.736 Sc
0.500 0.500 0.500 Mg
```

Its total magnetic moment is 0.00 μB/f.u. The energy is -4.00 eV per atom. The calculation puts the calculated volume at 24.70 Å³/atom. The calculation puts the density of states at the Fermi level at 4.25 states/eV/cell.

---

(6)
Density functional theory data (PBE-GGA) for a relaxed structure of YMgSc2Tl.

Geometry as POSCAR:
```
YMgSc2Tl
1.0
5.241 0.000 0.000
0.000 5.502 0.000
0.000 0.000 5.241
Y Sc Tl Mg
1 2 1 1
Direct
0.000 0.500 0.000 Y
0.500 0.000 0.000 Sc
0.000 0.000 0.500 Sc
0.500 0.500 0.500 Tl
0.000 0.000 0.000 Mg
```

Its total magnetic moment is 0.00 μB/f.u. The energy is -4.04 eV per atom. The calculation puts the calculated volume at 30.23 Å³/atom. The calculation puts the density of states at the Fermi level at 8.72 states/eV/cell.

---

(7)
Density functional theory data (PBE-GGA) for a relaxed structure of MgScTlZn.

Geometry as POSCAR:
```
MgScTlZn
1.0
3.972 0.000 0.000
0.000 4.567 0.000
0.000 0.000 4.587
Tl Zn Sc Mg
1 1 1 1
Direct
0.000 0.500 0.500 Tl
0.000 0.000 0.000 Zn
0.500 0.000 0.500 Sc
0.500 0.500 0.000 Mg
```

Its total magnetic moment is 0.00 μB/f.u. The calculation puts the calculated volume at 20.80 Å³/atom. The calculation puts the density of states at the Fermi level at 1.68 states/eV/cell. For the energy above the most stable polymorph in this dataset, the calculation gives 0.00 kcal/mol of atoms.

---

(8)
Density functional theory data (PBE-GGA) for a relaxed structure of MgScTlZn.

Geometry as POSCAR:
```
MgScTlZn
1.0
-4.161 -1.342 -2.210
-0.433 -4.504 -1.879
-2.962 -3.269 2.132
Sc Zn Tl Mg
1 1 1 1
Direct
0.250 0.250 0.250 Sc
0.000 0.000 0.000 Zn
0.500 0.500 0.500 Tl
0.750 0.750 0.750 Mg
```

Its total magnetic moment is 0.00 μB/f.u. The calculation puts the calculated volume at 20.79 Å³/atom. The calculation puts the density of states at the Fermi level at 1.39 states/eV/cell. For the energy above the most stable polymorph in this dataset, the calculation gives 0.57 kcal/mol of atoms.

---

(9)
Density functional theory data (PBE-GGA) for a relaxed structure of Tm2MgSc.

Geometry as POSCAR:
```
Tm2MgSc
1.0
-1.773 4.901 1.094
-2.263 1.023 4.711
2.544 3.015 3.577
Tm Sc Mg
2 1 1
Direct
0.750 0.750 0.750 Tm
0.250 0.250 0.250 Tm
0.500 0.500 0.500 Sc
0.000 0.000 0.000 Mg
```

Its total magnetic moment is 0.00 μB/f.u. The calculation puts the calculated volume at 26.70 Å³/atom. The calculation puts the density of states at the Fermi level at 3.75 states/eV/cell. For the energy above the most stable polymorph in this dataset, the calculation gives 1.26 kcal/mol of atoms.

---

(10)
Density functional theory data (PBE-GGA) for a relaxed structure of Tm2MgSc8.

Geometry as POSCAR:
```
Tm2MgSc8
1.0
0.172 -5.425 -0.661
5.180 -5.361 3.959
-2.568 -3.526 7.583
Sc Tm Mg
8 2 1
Direct
0.291 0.437 0.000 Sc
0.802 0.346 0.759 Sc
0.198 0.654 0.241 Sc
0.802 0.106 0.241 Sc
0.500 0.200 0.601 Sc
0.709 0.563 0.000 Sc
0.500 0.800 0.399 Sc
0.198 0.894 0.759 Sc
0.000 0.305 0.390 Tm
0.000 0.695 0.610 Tm
0.500 0.000 0.000 Mg
```

Its total magnetic moment is 0.01 μB/f.u. The energy is -5.40 eV per atom. The calculation puts the calculated volume at 25.90 Å³/atom. The calculation puts the density of states at the Fermi level at 17.95 states/eV/cell.

---

(11)
Density functional theory data (PBE-GGA) for a relaxed structure of TmMgSc5.

Geometry as POSCAR:
```
TmMgSc5
1.0
0.312 -4.708 -4.072
5.196 -3.339 -0.833
1.819 -14.279 3.292
Mg Sc Tm
2 10 2
Direct
0.740 0.260 0.250 Mg
0.260 0.740 0.750 Mg
0.692 0.680 0.508 Sc
0.304 0.316 0.197 Sc
0.308 0.320 0.492 Sc
0.680 0.692 0.008 Sc
0.219 0.781 0.250 Sc
0.320 0.308 0.992 Sc
0.316 0.304 0.697 Sc
0.781 0.219 0.750 Sc
0.684 0.696 0.303 Sc
0.696 0.684 0.803 Sc
0.000 0.000 0.000 Tm
0.000 0.000 0.500 Tm
```

Its total magnetic moment is 0.00 μB/f.u. The calculation puts the calculated volume at 25.57 Å³/atom. The calculation puts the density of states at the Fermi level at 18.27 states/eV/cell. For the energy above the most stable polymorph in this dataset, the calculation gives 0.00 kcal/mol of atoms.

---

(12)
Density functional theory data (PBE-GGA) for a relaxed structure of TmMg3Sc.

Geometry as POSCAR:
```
TmMg3Sc
1.0
-3.836 3.879 5.031
-3.559 -3.927 5.194
8.466 0.429 6.125
Tm Mg Sc
4 12 4
Direct
0.866 0.866 0.250 Tm
0.337 0.337 0.250 Tm
0.134 0.134 0.750 Tm
0.663 0.663 0.750 Tm
0.319 0.681 0.500 Mg
0.092 0.092 0.097 Mg
0.436 0.806 0.250 Mg
0.194 0.564 0.750 Mg
0.092 0.092 0.403 Mg
0.681 0.319 0.000 Mg
0.908 0.908 0.597 Mg
0.564 0.194 0.750 Mg
0.681 0.319 0.500 Mg
0.908 0.908 0.903 Mg
0.806 0.436 0.250 Mg
0.319 0.681 0.000 Mg
0.500 0.000 0.500 Sc
0.500 0.000 0.000 Sc
0.000 0.500 0.500 Sc
0.000 0.500 0.000 Sc
```

Its total magnetic moment is 0.00 μB/f.u. The calculation puts the calculated volume at 25.78 Å³/atom. The calculation puts the density of states at the Fermi level at 19.15 states/eV/cell. For the energy above the most stable polymorph in this dataset, the calculation gives 3.22 kcal/mol of atoms.